Entry from Alexandria: a relaxed Sr3LiAc3O8 crystal (GGA-PBE).

a b c (Å): 7.3392 7.3396 7.3155
angles (deg): 120.11 90.00 120.00
Sites, in units of the cell vectors:
1 O 0.2352 0.4705 0.7231
2 O 0.7647 0.0124 0.2769
3 O 0.7648 0.5295 0.2769
4 O 0.2477 0.0124 0.2769
5 O 0.7502 0.5005 0.7507
6 O 0.2498 0.4995 0.2493
7 O 0.7523 0.9876 0.7231
8 O 0.2353 0.9876 0.7231
9 Ac 0.5000 0.0000 0.5000
10 Ac 0.0000 0.5000 0.5000
11 Ac 0.5000 0.5000 0.5000
12 Sr 0.5000 0.5000 0.0000
13 Sr 0.0000 0.0000 0.0000
14 Sr 0.0000 0.5000 0.0000
15 Li 0.0000 0.0000 0.5000

Calculated values
**Raw total energy**: -99.60 eV per cell
**ρ**: 6.44 g/cm³

***

Entry from Alexandria: a relaxed BaIr3I crystal (GGA-PBE).

a b c (Å): 5.0140 5.0140 5.0140
angles (deg): 90.00 90.00 90.00
Sites, in units of the cell vectors:
1 I 0.0000 0.0000 0.0000
2 Ir 0.0000 0.5000 0.0000
3 Ir 0.5000 0.0000 0.0000
4 Ir 0.0000 0.0000 0.5000
5 Ba 0.5000 0.5000 0.5000

Calculated values
**Raw total energy**: -24.36 eV per cell
**ρ**: 11.08 g/cm³

***

Entry from Alexandria: a relaxed NdFeSiN crystal (GGA-PBE).

a b c (Å): 3.7601 3.7601 8.4237
angles (deg): 90.00 90.00 90.00
Site moments in Bohr magnetons follow the coordinates.
Sites, in units of the cell vectors:
1 Fe 0.5000 0.5000 0.5000  1.39
2 Fe 0.0000 0.0000 0.5000  1.39
3 N 0.0000 0.5000 0.1314  -0.01
4 N 0.5000 0.0000 0.8686  -0.01
5 Si 0.5000 0.0000 0.6573  -0.06
6 Si 0.0000 0.5000 0.3427  -0.06
7 Nd 0.0000 0.5000 0.8420  0.00
8 Nd 0.5000 0.0000 0.1580  0.00

Calculated values
**Raw total energy**: -61.60 eV per cell
**ρ**: 6.75 g/cm³